# Th4MgTl5, relaxed, DFT GGA-PBE
# Magnetization, μB/cell: 0.00
# Fermi-level density of states, states/eV per cell: 10.7
# Energy above the most stable polymorph in this dataset, eV per formula unit: 0.00
# Total DFT energy (no corrections), eV for the cell shown: -44.28
data_Th4MgTl5
_cell_length_a 3.602
_cell_length_b 3.602
_cell_length_c 21.704
_cell_angle_alpha 90.00
_cell_angle_beta 90.00
_cell_angle_gamma 90.00
_symmetry_space_group_name_H-M 'P 1'
_symmetry_Int_Tables_number 1
loop_
_symmetry_equiv_pos_as_xyz
'x,y,z'
loop_
_atom_site_label
_atom_site_fract_x
_atom_site_fract_y
_atom_site_fract_z
_atom_site_occupancy
Th1 0.000 0.000 0.185 1
Th2 0.000 0.000 0.395 1
Th3 0.000 0.000 0.605 1
Th4 0.000 0.000 0.815 1
Mg1 0.000 0.000 0.000 1
Tl1 0.500 0.500 0.081 1
Tl2 0.500 0.500 0.290 1
Tl3 0.500 0.500 0.500 1
Tl4 0.500 0.500 0.710 1
Tl5 0.500 0.500 0.919 1

***

# Th5MgTl4, relaxed, DFT GGA-PBE
# Magnetization, μB/cell: 0.00
# Fermi-level density of states, states/eV per cell: 7.0
# Energy above the most stable polymorph in this dataset, eV per formula unit: 0.00
# Total DFT energy (no corrections), eV for the cell shown: -48.76
data_Th5MgTl4
_cell_length_a 4.203
_cell_length_b 4.203
_cell_length_c 16.640
_cell_angle_alpha 90.00
_cell_angle_beta 90.00
_cell_angle_gamma 90.00
_symmetry_space_group_name_H-M 'P 1'
_symmetry_Int_Tables_number 1
loop_
_symmetry_equiv_pos_as_xyz
'x,y,z'
loop_
_atom_site_label
_atom_site_fract_x
_atom_site_fract_y
_atom_site_fract_z
_atom_site_occupancy
Th1 0.500 0.500 0.102 1
Th2 0.500 0.500 0.299 1
Th3 0.500 0.500 0.500 1
Th4 0.500 0.500 0.701 1
Th5 0.500 0.500 0.898 1
Mg1 0.000 0.000 0.000 1
Tl1 0.000 0.000 0.196 1
Tl2 0.000 0.000 0.399 1
Tl3 0.000 0.000 0.601 1
Tl4 0.000 0.000 0.804 1

***

What is the formula in the second record? Th5MgTl4